# 1
{
  "formula": "Ce8In2Rh3",
  "functional": "PBE",
  "state": "relaxed",
  "final_energy_ev_per_atom": -6.04,
  "delta_e_f_ev_per_atom": -0.27,
  "spacegroup": "C2/m (12)",
  "cell": [[8.053, -3.777, 0.000], [8.053, 3.777, 0.000], [-1.013, 0.000, 5.623]],
  "species": ["Ce", "Ce", "Ce", "Ce", "Ce", "Ce", "Ce", "Ce", "In", "In", "Rh", "Rh", "Rh"],
  "fractional_positions": [[0.093, 0.728, 0.541], [0.154, 0.154, 0.928], [0.272, 0.907, 0.459], [0.397, 0.397, 0.041], [0.603, 0.603, 0.959], [0.728, 0.093, 0.541], [0.846, 0.846, 0.072], [0.907, 0.272, 0.459], [0.271, 0.271, 0.471], [0.729, 0.729, 0.529], [0.199, 0.801, 0.000], [0.500, 0.500, 0.500], [0.801, 0.199, 0.000]]
}

***

# 2
{
  "formula": "BaLaInO4",
  "functional": "PBE",
  "state": "relaxed",
  "final_energy_ev_per_atom": -6.71,
  "formation_energy_uncorrected_ev_per_atom": -2.504,
  "spacegroup": "Pca2_1 (29)",
  "de_polymorph_ev_per_fu": 0.00,
  "cell": [[13.178, 0.000, 0.000], [0.000, 6.059, 0.000], [0.000, 0.000, 5.952]],
  "species": ["Ba", "Ba", "Ba", "Ba", "La", "La", "La", "La", "In", "In", "In", "In", "O", "O", "O", "O", "O", "O", "O", "O", "O", "O", "O", "O", "O", "O", "O", "O"],
  "fractional_positions": [[0.146, 0.226, 0.000], [0.354, 0.226, 0.500], [0.646, 0.774, 0.000], [0.854, 0.774, 0.500], [0.145, 0.689, 0.518], [0.355, 0.689, 0.018], [0.645, 0.311, 0.518], [0.855, 0.311, 0.018], [0.002, 0.756, 0.006], [0.498, 0.756, 0.506], [0.502, 0.244, 0.006], [0.998, 0.244, 0.506], [0.014, 0.469, 0.226], [0.034, 0.948, 0.308], [0.164, 0.308, 0.546], [0.177, 0.755, 0.912], [0.323, 0.755, 0.412], [0.336, 0.308, 0.046], [0.466, 0.948, 0.808], [0.486, 0.469, 0.726], [0.514, 0.531, 0.226], [0.534, 0.052, 0.308], [0.664, 0.692, 0.546], [0.677, 0.245, 0.912], [0.823, 0.245, 0.412], [0.836, 0.692, 0.046], [0.966, 0.052, 0.808], [0.986, 0.531, 0.726]]
}

***

# 3
{
  "formula": "LiLaTa",
  "functional": "PBE",
  "state": "relaxed",
  "final_energy_ev_per_atom": -5.70,
  "delta_e_f_ev_per_atom": 0.53,
  "spacegroup": "Fmm2 (42)",
  "de_polymorph_ev_per_fu": 0.18,
  "cell": [[0.000, 2.634, 8.394], [1.568, 0.000, 8.394], [1.568, 2.634, 0.000]],
  "species": ["Li", "La", "Ta"],
  "fractional_positions": [[0.000, 0.000, 0.000], [0.311, 0.311, 0.689], [0.647, 0.647, 0.353]]
}

***

# 4
{
  "formula": "La2YZr",
  "functional": "PBE",
  "state": "relaxed",
  "final_energy_ev_per_atom": -6.01,
  "delta_e_f_ev_per_atom": 0.20,
  "spacegroup": "P2/m (10)",
  "de_polymorph_ev_per_fu": 0.41,
  "cell": [[3.440, 0.000, 0.000], [0.000, 5.808, 0.000], [-0.447, 0.000, 6.185]],
  "species": ["La", "La", "Y", "Zr"],
  "fractional_positions": [[0.211, 0.000, 0.276], [0.789, 0.000, 0.724], [0.500, 0.500, 0.000], [0.000, 0.500, 0.500]]
}